# LaPm2Nd6Tm

Crystalline LaPm2Nd6Tm at its relaxed geometry (PBE, the Alexandria database).

Formation energy (eV/atom): 0.11

Lattice parameters (Å, degrees): 9.0146 9.0146 9.8427 93.83 93.83 117.75
With the nearest neighbours (Å) after each atom.
Element x y z (fractional)
La: 0.0218 0.9782 0.7500  4 Pm 3.45-3.51, 4 Nd 3.68-3.75
La: 0.9782 0.0218 0.2500  4 Pm 3.45-3.51, 4 Nd 3.68-3.75
Pm: 0.1988 0.3001 0.5456  5 Nd 3.32-3.61, 2 La 3.45-3.51, 1 Tm 3.61
Pm: 0.3001 0.1988 0.0456  5 Nd 3.32-3.61, 2 La 3.45-3.51, 1 Tm 3.61
Pm: 0.6999 0.8012 0.9544  5 Nd 3.32-3.61, 2 La 3.45-3.51, 1 Tm 3.61
Pm: 0.8012 0.6999 0.4544  5 Nd 3.32-3.61, 2 La 3.45-3.51, 1 Tm 3.61
Nd: 0.0123 0.5666 0.6879  3 Nd 3.35-3.74, 1 Tm 3.50, 1 Pm 3.50, 1 La 3.68
Nd: 0.1214 0.7495 0.0550  7 Nd 3.50-3.87, 1 Pm 3.61, 1 La 3.75
Nd: 0.2505 0.8786 0.4450  7 Nd 3.50-3.87, 1 Pm 3.61, 1 La 3.75
Nd: 0.2950 0.5066 0.8823  3 Pm 3.32-3.53, 4 Nd 3.35-3.63, 2 Tm 3.47-3.63
Nd: 0.4334 0.9877 0.8121  3 Nd 3.35-3.74, 1 Tm 3.50, 1 Pm 3.50, 1 La 3.68
Nd: 0.4934 0.7050 0.6177  3 Pm 3.32-3.53, 4 Nd 3.35-3.63, 2 Tm 3.47-3.63
Nd: 0.5066 0.2950 0.3823  3 Pm 3.32-3.53, 4 Nd 3.35-3.63, 2 Tm 3.47-3.63
Nd: 0.5666 0.0123 0.1879  3 Nd 3.35-3.74, 1 Tm 3.50, 1 Pm 3.50, 1 La 3.68
Nd: 0.7050 0.4934 0.1177  3 Pm 3.32-3.53, 4 Nd 3.35-3.63, 2 Tm 3.47-3.63
Nd: 0.7495 0.1214 0.5550  7 Nd 3.50-3.87, 1 Pm 3.61, 1 La 3.75
Nd: 0.8786 0.2505 0.9450  7 Nd 3.50-3.87, 1 Pm 3.61, 1 La 3.75
Nd: 0.9877 0.4334 0.3121  3 Nd 3.35-3.74, 1 Tm 3.50, 1 Pm 3.50, 1 La 3.68
Tm: 0.4096 0.5904 0.2500  6 Nd 3.47-3.63, 2 Pm 3.61
Tm: 0.5904 0.4096 0.7500  6 Nd 3.47-3.63, 2 Pm 3.61

# MnS2

Crystalline MnS2 at its relaxed geometry (PBE, the Alexandria database).

Uncorrected formation energy (eV per formula unit): -1.298

Lattice parameters (Å, degrees): 5.5181 5.5181 5.5181 90.00 90.00 90.00
With the nearest neighbours (Å) after each atom.
Element x y z (fractional)
Mn: 0.0000 0.0000 0.0000  6 S 2.30
Mn: 0.0000 0.5000 0.5000  6 S 2.30
Mn: 0.5000 0.0000 0.5000  6 S 2.30
Mn: 0.5000 0.5000 0.0000  6 S 2.30
S: 0.1191 0.6191 0.8809  1 S 2.28, 3 Mn 2.30
S: 0.1191 0.8809 0.3809  1 S 2.28, 3 Mn 2.30
S: 0.3809 0.1191 0.8809  1 S 2.28, 3 Mn 2.30
S: 0.3809 0.3809 0.3809  1 S 2.28, 3 Mn 2.30
S: 0.6191 0.6191 0.6191  1 S 2.28, 3 Mn 2.30
S: 0.6191 0.8809 0.1191  1 S 2.28, 3 Mn 2.30
S: 0.8809 0.1191 0.6191  1 S 2.28, 3 Mn 2.30
S: 0.8809 0.3809 0.1191  1 S 2.28, 3 Mn 2.30

# Na3Sr3AsO8

Crystalline Na3Sr3AsO8 at its relaxed geometry (PBE, the Alexandria database).

Uncorrected formation energy (eV per formula unit): -26.902

Lattice parameters (Å, degrees): 6.9765 6.9765 6.9765 61.01 61.01 61.01
With the nearest neighbours (Å) after each atom.
Element x y z (fractional)
Na: 0.0000 0.5000 0.5000  6 O 2.52-2.57
Na: 0.5000 0.0000 0.5000  6 O 2.52-2.57
Na: 0.5000 0.5000 0.0000  6 O 2.52-2.57
Sr: 0.0000 0.0000 0.5000  6 O 2.46-2.54
Sr: 0.0000 0.5000 0.0000  6 O 2.46-2.54
Sr: 0.5000 0.0000 0.0000  6 O 2.46-2.54
As: 0.0000 0.0000 0.0000  6 O 1.89
O: 0.1880 0.8098 0.8098  1 As 1.89
O: 0.1902 0.1902 0.8120  1 As 1.89
O: 0.1902 0.8120 0.1902  1 As 1.89
O: 0.2468 0.2468 0.2468  3 Sr 2.46, 3 Na 2.52
O: 0.7532 0.7532 0.7532  3 Sr 2.46, 3 Na 2.52
O: 0.8098 0.1880 0.8098  1 As 1.89
O: 0.8098 0.8098 0.1880  1 As 1.89
O: 0.8120 0.1902 0.1902  1 As 1.89

# TcRh2Se

Crystalline TcRh2Se at its relaxed geometry (PBE, the Alexandria database).

Uncorrected formation energy (eV per formula unit): 2.099

Lattice parameters (Å, degrees): 5.6118 5.6118 10.8473 90.00 90.00 90.00
With the nearest neighbours (Å) after each atom.
Element x y z (fractional)
Tc: 0.0000 0.0000 0.0000  4 Rh 2.38
Tc: 0.0000 0.5000 0.2500  4 Rh 2.38
Tc: 0.5000 0.0000 0.7500  4 Rh 2.38
Tc: 0.5000 0.5000 0.5000  4 Rh 2.38
Rh: 0.2441 0.2500 0.1250  2 Tc 2.38, 2 Se 2.42
Rh: 0.2500 0.7441 0.3750  2 Tc 2.38, 2 Se 2.42
Rh: 0.2500 0.7559 0.8750  2 Tc 2.38, 2 Se 2.42
Rh: 0.2559 0.2500 0.6250  2 Tc 2.38, 2 Se 2.42
Rh: 0.7441 0.7500 0.6250  2 Tc 2.38, 2 Se 2.42
Rh: 0.7500 0.2441 0.8750  2 Tc 2.38, 2 Se 2.42
Rh: 0.7500 0.2559 0.3750  2 Tc 2.38, 2 Se 2.42
Rh: 0.7559 0.7500 0.1250  2 Tc 2.38, 2 Se 2.42
Se: 0.0000 0.0000 0.5000  4 Rh 2.42
Se: 0.0000 0.5000 0.7500  4 Rh 2.42
Se: 0.5000 0.0000 0.2500  4 Rh 2.42
Se: 0.5000 0.5000 0.0000  4 Rh 2.42

# TiAlOF2

Crystalline TiAlOF2 at its relaxed geometry (PBE, the Alexandria database).

ΔE to the lowest computed polymorph (meV/atom): 0
Uncorrected formation energy (eV per formula unit): -10.809

Lattice parameters (Å, degrees): 4.2139 4.2139 3.8515 90.00 90.00 90.00
With the nearest neighbours (Å) after each atom.
Element x y z (fractional)
Ti: 0.0000 0.0000 0.0000  2 O 1.93, 4 F 2.11
Al: 0.5000 0.5000 0.5000  8 F 2.85, 4 O 2.98
O: 0.0000 0.0000 0.5000  2 Ti 1.93
F: 0.0000 0.5000 0.0000  2 Ti 2.11
F: 0.5000 0.0000 0.0000  2 Ti 2.11

# ScAlNi2

Crystalline ScAlNi2 at its relaxed geometry (PBE, the Alexandria database).

Formation energy (eV/atom): -0.54

Lattice parameters (Å, degrees): 4.2415 4.2415 3.1104 90.00 90.00 90.00
With the nearest neighbours (Å) after each atom.
Element x y z (fractional)
Sc: 0.0000 0.0000 0.0000  8 Ni 2.63
Al: 0.5000 0.5000 0.0000  8 Ni 2.63
Ni: 0.0000 0.5000 0.5000  4 Sc 2.63, 4 Al 2.63
Ni: 0.5000 0.0000 0.5000  4 Sc 2.63, 4 Al 2.63

Fermi-level density of states in states/eV per atom, matching the order above: 1.4625, 0.2784, 0.9168, 0.7146, 0.3616, 0.5440